! RbCaPd3, optimized geometry, DFT PBE-GGA; values from VASP
! spin magnetization: 0.000 μB/atom
! relative energy among the computed polymorphs: 509 meV/atom
&SYSTEM
  ibrav = 0, nat = 5, ntyp = 3
/
ATOMIC_SPECIES
Pd 106.42 Pd.upf
Ca 40.08 Ca.upf
Rb 85.47 Rb.upf
ATOMIC_POSITIONS crystal
Pd 0.500 0.000 0.000
Ca 0.500 0.500 0.500
Pd 0.000 0.500 0.000
Rb 0.000 0.000 0.000
Pd 0.000 0.000 0.500
CELL_PARAMETERS angstrom
5.242 0.000 0.000
0.000 5.242 0.000
0.000 0.000 5.242

! HfCuBr2N, optimized geometry, DFT PBE-GGA; values from VASP
! spin magnetization: 0.130 μB/atom
! formation energy without anion corrections: 1.137 eV/atom
&SYSTEM
  ibrav = 0, nat = 5, ntyp = 4
/
ATOMIC_SPECIES
Br 79.90 Br.upf
Hf 178.49 Hf.upf
Cu 63.55 Cu.upf
N 14.01 N.upf
ATOMIC_POSITIONS crystal
Br 0.000 0.000 0.500
Hf 0.000 0.000 0.000
Br 0.500 0.000 0.000
Cu 0.000 0.500 0.000
N 0.500 0.500 0.500
CELL_PARAMETERS angstrom
-3.581 3.307 -1.638
-3.389 -3.902 -0.468
-1.530 0.747 4.852

! DySnSb, optimized geometry, DFT PBE-GGA; values from VASP
! spin magnetization: 0.000 μB/atom
! relative energy among the computed polymorphs: 0 meV/atom
! formation energy without anion corrections: -0.524 eV/atom
&SYSTEM
  ibrav = 0, nat = 6, ntyp = 3
/
ATOMIC_SPECIES
Sb 121.76 Sb.upf
Dy 162.50 Dy.upf
Sn 118.71 Sn.upf
ATOMIC_POSITIONS crystal
Sb 0.000 0.251 0.678
Dy 0.000 0.249 0.330
Sb 0.500 0.749 0.178
Dy 0.500 0.751 0.830
Sn 0.500 0.749 0.500
Sn 0.000 0.251 0.000
CELL_PARAMETERS angstrom
3.968 0.000 0.000
0.000 3.968 0.000
0.000 0.000 10.194

! NaHgGeAs, optimized geometry, DFT PBE-GGA; values from VASP
! spin magnetization: 0.000 μB/atom
! raw total energy: -11.6 eV per cell
&SYSTEM
  ibrav = 0, nat = 4, ntyp = 4
/
ATOMIC_SPECIES
As 74.92 As.upf
Hg 200.59 Hg.upf
Ge 72.64 Ge.upf
Na 22.99 Na.upf
ATOMIC_POSITIONS crystal
As 0.165 0.909 0.074
Hg 0.519 0.086 0.606
Ge 0.738 0.195 0.933
Na 0.663 0.658 0.321
CELL_PARAMETERS angstrom
-2.000 -1.874 2.632
-0.337 -0.939 -3.667
7.963 -4.171 0.333